Compound: PmSm6Cd
Source: the Alexandria database
Functional: PBE
Structure: optimized geometry

Unit cell a=5.0034 b=5.0034 c=10.2164 alpha=90.00 beta=90.00 gamma=90.00
Positions (direct):
1 Pm 0.0000 0.0000 0.0000
2 Sm 0.0000 0.5000 0.2565
3 Sm 0.0000 0.5000 0.7435
4 Sm 0.5000 0.0000 0.2565
5 Sm 0.5000 0.0000 0.7435
6 Sm 0.5000 0.5000 0.0000
7 Sm 0.5000 0.5000 0.5000
8 Cd 0.0000 0.0000 0.5000

Properties
calculated formation energy: -31.9 meV/atom
space-group type: P4/mmm
N(E_F): 1.36 states/eV/atom
theoretical density: 7.53 g/cm³
E above lowest polymorph: 0 meV/atom